Compound: CrSnP2S
Source: Alexandria
Functional: PBE
Structure: relaxed

It has space group P4/mmm (No. 123), with a = 4.323 Å, b = 4.323 Å, c = 5.279 Å, α = 90.00°, β = 90.00° and γ = 90.00°. The inequivalent atoms are Cr at (0.000, 0.000, 0.000), Sn at (0.500, 0.500, 0.500), P at (0.000, 0.500, 0.000) and S at (0.000, 0.000, 0.500).

The value obtained for the size of the total moment is 0.0 μB per cell. Its density of states at the Fermi level is 0.7975 states/eV/atom. The value obtained for the energy above the most stable polymorph in this dataset is 0.000 eV per atom. Its energy relative to the elements, uncorrected is 5.40 kcal/mol of atoms. The calculation puts the density at 4455 kg/m3.